6
Lattice="-2.678 -2.376 -2.219 3.358 1.708 -1.884 2.831 -4.280 1.166" Properties=species:S:1:pos:R:3 comment="NbCoRu PBEsol optimized geometry" volume_a3_per_fu=40.4 n_ef_per_ev_cell=4.11 total_magnetization_mub_per_atom=0.000 total_energy_ev_per_atom=-9.786 delta_e_f_mev_per_atom=-209 pbc="T T T"
Nb 3.469 -2.863 -1.121
Co 1.457 -4.225 -1.233
Ru 1.416 -2.140 0.583
Ru 0.000 0.000 0.000
Co 2.054 -0.723 -1.704
Nb 0.042 -2.085 -1.816



5
Lattice="4.462 0.000 0.000 0.000 4.462 0.000 0.000 0.000 4.981" Properties=species:S:1:pos:R:3 comment="SrNbCo2Ru PBEsol optimized geometry" volume_a3_per_fu=99.2 n_ef_per_ev_cell=7.25 total_magnetization_mub_per_atom=0.795 total_energy_ev_per_atom=-5.964 delta_e_f_mev_per_atom=1698 pbc="T T T"
Sr 0.000 0.000 2.490
Co 0.000 2.231 0.000
Nb 2.231 2.231 2.490
Co 2.231 0.000 0.000
Ru 0.000 0.000 0.000



5
Lattice="4.736 0.000 0.000 0.000 4.736 0.000 0.000 0.000 4.736" Properties=species:S:1:pos:R:3 comment="NbCoS3 PBEsol optimized geometry" raw_formation_energy_ev_per_atom=0.37 volume_a3_per_fu=106.2 n_ef_per_ev_cell=7.95 total_magnetization_mub_per_atom=0.523 total_energy_ev_per_atom=-5.972 pbc="T T T"
Nb 0.000 0.000 0.000
S 0.000 2.368 0.000
S 0.000 0.000 2.368
Co 2.368 2.368 2.368
S 2.368 0.000 0.000



20
Lattice="-2.854 -3.649 -3.321 4.380 2.963 -2.128 7.159 -8.385 3.062" Properties=species:S:1:pos:R:3 comment="Nb3CoS6 PBEsol optimized geometry" raw_formation_energy_ev_per_atom=-1.10 volume_a3_per_fu=161.0 n_ef_per_ev_cell=9.72 total_magnetization_mub_per_atom=0.000 total_energy_ev_per_atom=-7.751 pbc="T T T"
S 6.668 -7.468 0.821
S 4.279 -9.658 0.412
Nb -0.413 -1.480 -2.911
Nb 5.578 -3.468 -0.982
S 3.622 -3.482 -2.522
S 3.455 -0.631 -3.907
Nb 3.580 -4.192 1.531
S 5.572 -5.818 -1.682
Nb 9.099 -7.592 0.523
S 6.011 -1.293 -2.113
Co 4.927 -7.734 -0.627
S 3.626 -6.562 0.833
S 1.509 -1.374 -1.392
Co 3.759 -1.337 -1.760
S 3.906 0.811 -1.011
S 4.050 -2.056 0.384
Nb 0.000 0.000 0.000
S 6.240 -8.895 -2.086
Nb 3.108 -5.603 -1.405
S 3.175 -8.004 -2.062



26
Lattice="-2.214 -4.306 4.457 5.966 -0.793 -2.662 4.578 6.317 8.378" Properties=species:S:1:pos:R:3 comment="Nb4CoS8 PBEsol optimized geometry" raw_formation_energy_ev_per_atom=-1.11 volume_a3_per_fu=214.7 n_ef_per_ev_cell=10.29 total_magnetization_mub_per_atom=0.000 total_energy_ev_per_atom=-7.736 pbc="T T T"
Nb 5.254 2.164 7.229
S 4.418 2.899 4.997
Nb 3.076 -0.947 2.944
S 3.734 -1.282 0.616
Nb 4.138 1.119 0.806
Co 2.289 3.159 4.189
S 2.024 0.883 4.274
S -0.339 -3.007 4.228
S 0.774 -0.841 1.986
S 3.296 0.706 7.178
S 2.662 -3.406 2.890
S 7.555 2.058 8.187
Co 0.000 0.000 0.000
S 4.596 2.499 9.557
Nb 5.938 -1.327 1.667
S 8.669 4.225 5.945
S 3.912 -1.682 5.177
S 6.306 0.334 5.900
Nb 1.144 1.579 2.095
S 5.668 4.624 7.284
Nb 3.433 4.738 6.284
S 5.034 0.512 2.995
S 0.910 -1.283 6.516
S 7.419 2.500 3.658
Nb 2.392 2.545 8.506
Nb 4.192 0.099 9.367



5
Lattice="-0.462 -2.144 4.148 4.480 0.974 1.002 -1.316 4.050 1.947" Properties=species:S:1:pos:R:3 comment="Nb2ZnCoSb PBEsol optimized geometry" raw_formation_energy_ev_per_atom=1.60 volume_a3_per_fu=103.1 n_ef_per_ev_cell=8.52 total_magnetization_mub_per_atom=0.379 total_energy_ev_per_atom=-5.505 pbc="T T T"
Co 1.351 1.440 3.549
Nb 2.240 0.487 0.501
Nb -0.231 -1.072 2.074
Zn 0.000 0.000 0.000
Sb -0.658 2.025 0.974



10
Lattice="-4.162 -0.048 0.711 0.770 -4.512 4.198 0.712 4.267 4.456" Properties=species:S:1:pos:R:3 comment="Sc2NbCo2 PBEsol optimized geometry" volume_a3_per_fu=81.4 n_ef_per_ev_cell=11.37 total_magnetization_mub_per_atom=0.000 total_energy_ev_per_atom=-8.089 delta_e_f_mev_per_atom=-188 pbc="T T T"
Sc -1.706 -0.721 2.500
Co 0.572 -2.287 3.194
Nb 0.741 -0.122 4.327
Nb 0.000 0.000 0.000
Sc -1.462 2.066 4.120
Co 0.363 1.022 2.195
Co 1.118 -1.267 6.458
Sc -1.218 -2.359 5.245
Sc -0.974 0.428 6.864
Co 0.909 2.042 5.459



24
Lattice="7.823 0.000 0.000 3.912 6.775 0.000 3.912 2.258 6.388" Properties=species:S:1:pos:R:3 comment="Nb3Co2Si PBEsol optimized geometry" raw_formation_energy_ev_per_atom=-0.42 volume_a3_per_fu=84.6 n_ef_per_ev_cell=27.90 total_magnetization_mub_per_atom=0.000 total_energy_ev_per_atom=-9.369 pbc="T T T"
Nb 5.485 5.866 1.285
Si 7.823 4.517 0.798
Si 9.779 5.646 3.992
Co 7.823 4.517 4.769
Co 11.735 6.775 3.216
Si 5.867 5.646 3.992
Nb 2.338 1.350 2.882
Co 9.109 3.774 2.669
Nb 2.338 3.167 0.312
Nb 10.161 3.167 5.102
Nb 5.485 1.350 2.882
Co 13.021 7.518 5.316
Co 6.537 3.774 2.669
Co 10.449 7.518 5.316
Nb 3.912 0.441 0.312
Nb 7.823 7.216 5.102
Nb 7.823 1.817 1.285
Nb 10.161 5.866 1.285
Si 7.823 2.258 3.992
Nb 3.912 4.076 2.882
Nb 5.485 3.167 0.312
Co 11.735 5.290 5.316
Nb 5.485 3.167 5.102
Co 7.823 6.002 2.669



12
Lattice="-1.342 2.452 -2.310 -5.134 0.427 3.436 2.932 5.131 3.743" Properties=species:S:1:pos:R:3 comment="NbCoSi PBEsol optimized geometry" raw_formation_energy_ev_per_atom=-0.80 volume_a3_per_fu=39.3 n_ef_per_ev_cell=4.08 total_magnetization_mub_per_atom=0.000 total_energy_ev_per_atom=-8.901 pbc="T T T"
Nb 0.882 5.337 0.883
Co -0.529 3.654 2.763
Si -1.301 3.920 0.646
Co -1.546 2.222 -1.014
Si 1.100 5.237 3.496
Si -2.244 4.090 4.222
Co -3.015 4.356 2.105
Si -4.645 2.773 1.372
Nb -1.275 6.268 3.124
Co -1.998 5.788 5.882
Nb -2.270 1.742 1.744
Nb -4.426 2.673 3.985



5
Lattice="-3.041 -2.486 1.981 -0.814 -2.042 -3.811 3.428 -3.347 1.061" Properties=species:S:1:pos:R:3 comment="SrTiNbCo2 PBEsol optimized geometry" volume_a3_per_fu=95.0 n_ef_per_ev_cell=7.07 total_magnetization_mub_per_atom=0.229 total_energy_ev_per_atom=-5.075 delta_e_f_mev_per_atom=2217 pbc="T T T"
Co -1.520 -1.243 0.990
Co -0.407 -1.021 -1.905
Nb 1.714 -1.674 0.531
Ti -0.213 -3.937 -0.384
Sr 0.000 0.000 0.000



5
Lattice="4.701 0.000 0.000 0.000 4.701 0.000 0.000 0.000 5.029" Properties=species:S:1:pos:R:3 comment="SrNb2TlCo PBEsol optimized geometry" volume_a3_per_fu=111.1 n_ef_per_ev_cell=7.02 total_magnetization_mub_per_atom=0.000 total_energy_ev_per_atom=-6.099 delta_e_f_mev_per_atom=671 pbc="T T T"
Nb 0.000 2.350 0.000
Tl 0.000 0.000 2.514
Sr 2.350 2.350 2.514
Co 0.000 0.000 0.000
Nb 2.350 0.000 0.000



5
Lattice="-0.781 -2.973 2.995 -0.503 -2.959 -3.068 4.190 -0.910 0.190" Properties=species:S:1:pos:R:3 comment="TaNbCo3 PBEsol optimized geometry" volume_a3_per_fu=79.0 n_ef_per_ev_cell=7.97 total_magnetization_mub_per_atom=0.000 total_energy_ev_per_atom=-7.930 delta_e_f_mev_per_atom=1386 pbc="T T T"
Ta 1.453 -3.420 0.059
Co -0.252 -1.479 -1.534
Nb 0.000 0.000 0.000
Co -0.390 -1.486 1.498
Co 2.095 -0.455 0.095